First-principles (PBE with a Hubbard U) data for a geometry-optimized BaSi2WO8 structure, as listed in the Alexandria database.

a b c (Å): 4.9678 4.9678 8.7557
angles (deg): 73.52 73.52 60.00
Last column: nearest neighbours and their distance in Å.
Sites, in units of the cell vectors:
1 O 0.6170 0.2407 0.1377  1 Si 1.65
2 O 0.2407 0.0047 0.1377  1 Si 1.65
3 O 0.7593 0.9953 0.8623  1 Si 1.65
4 O 0.8017 0.8017 0.5949  1 Si 1.59
5 O 0.9953 0.3830 0.8623  1 Si 1.65
6 W 0.0000 0.0000 0.0000  6 O 1.94
7 Ba 0.5000 0.5000 0.5000  6 O 2.97
8 O 0.1983 0.1983 0.4051  1 Si 1.59
9 Si 0.7375 0.7375 0.7874  4 O 1.59-1.65
10 O 0.0047 0.6170 0.1377  1 Si 1.65
11 Si 0.2625 0.2625 0.2126  4 O 1.59-1.65
12 O 0.3830 0.7593 0.8623  1 Si 1.65

Properties
Density of states at the Fermi level: 0.000 states/eV/atom
Uncorrected energy: -7.513 eV per atom